The following is a PBE calculation of a relaxed Zr4AlP crystal, from Alexandria.

Lattice parameters (Å, degrees): 5.6805 5.6805 5.6805 60.00 60.00 60.00
Fractional coordinates of all 6 atoms:
P  0.0000  0.0000  0.0000
Al  0.7500  0.7500  0.7500
Zr  0.3762  0.3762  0.8714
Zr  0.8714  0.3762  0.3762
Zr  0.3762  0.8714  0.3762
Zr  0.3762  0.3762  0.3762

Computed properties:
crystal system: cubic
spin magnetization: 0.0 μB per cell
ΔE_f: 2.026 eV per formula unit
space-group type: No. 216

***

The following is a PBE calculation of a relaxed Cu3C5 crystal, from Alexandria.

Lattice parameters (Å, degrees): 7.0460 6.8734 5.5754 77.25 75.77 128.78
Fractional coordinates of all 16 atoms:
C  0.0556  0.5365  0.7578
C  0.8219  0.9657  0.3608
C  0.8334  0.4891  0.8071
C  0.3133  0.7943  0.2422
C  0.6826  0.8265  0.6392
C  0.3281  0.1843  0.6522
C  0.1406  0.7962  0.1929
C  0.5109  0.1664  0.5000
C  0.1928  0.5590  0.5000
C  0.4803  0.3365  0.3478
Cu  0.6092  0.5627  0.9650
Cu  0.7312  0.1494  0.1419
Cu  0.0966  0.2275  0.5000
Cu  0.0742  0.0277  0.0350
Cu  0.7563  0.5803  0.5000
Cu  0.3731  0.7913  0.8581

Computed properties:
crystal system: monoclinic
spin magnetization: 0.0 μB per cell
ΔE_f: 8.753 eV per formula unit
space-group type: No. 8

***

The following is a PBE calculation of a relaxed Pm2Pr12Tm5 crystal, from Alexandria.

Lattice parameters (Å, degrees): 11.7909 10.8235 6.2646 100.34 90.00 123.00
Fractional coordinates of all 19 atoms:
Tm  0.6794  0.3589  0.8581
Tm  0.0000  0.0000  0.5000
Tm  0.7855  0.5709  0.4494
Tm  0.3206  0.6411  0.1419
Tm  0.2145  0.4291  0.5506
Pm  0.2288  0.0000  0.0000
Pm  0.7712  0.0000  0.0000
Pr  0.6476  0.7909  0.3846
Pr  0.9372  0.3953  0.1993
Pr  0.8567  0.2091  0.6154
Pr  0.3524  0.2091  0.6154
Pr  0.5579  0.1158  0.2728
Pr  0.4421  0.8842  0.7272
Pr  0.0628  0.6047  0.8007
Pr  0.1213  0.2426  0.0002
Pr  0.1433  0.7909  0.3846
Pr  0.5418  0.6047  0.8007
Pr  0.8787  0.7574  0.9998
Pr  0.4582  0.3953  0.1993

Computed properties:
crystal system: monoclinic
spin magnetization: 0.0 μB per cell
ΔE_f: 1.882 eV per formula unit
space-group type: No. 12

***

The following is a PBE calculation of a relaxed LiSb2TePd crystal, from Alexandria.

Lattice parameters (Å, degrees): 5.1846 5.1846 5.6671 90.00 90.00 90.00
Fractional coordinates of all 5 atoms:
Li  0.5000  0.5000  0.5000
Te  0.0000  0.0000  0.5000
Sb  0.0000  0.5000  0.0000
Sb  0.5000  0.0000  0.0000
Pd  0.0000  0.0000  0.0000

Computed properties:
crystal system: tetragonal
spin magnetization: 0.0 μB per cell
uncorrected formation energy: 0.571 eV per formula unit
space-group type: No. 123

***

The following is a PBE calculation of a relaxed AcPr3Pt crystal, from Alexandria.

Lattice parameters (Å, degrees): 7.7515 8.5038 10.6241 106.92 90.00 90.00
Fractional coordinates of all 20 atoms:
Pt  0.2554  0.9352  0.6027
Pt  0.7554  0.0648  0.8973
Pt  0.2446  0.9352  0.1027
Pt  0.7446  0.0648  0.3973
Pr  0.8691  0.9133  0.6092
Pr  0.6309  0.9133  0.1092
Pr  0.9911  0.2137  0.1203
Pr  0.7958  0.4375  0.4781
Pr  0.3691  0.0867  0.8908
Pr  0.7042  0.4375  0.9781
Pr  0.2958  0.5625  0.0219
Pr  0.4911  0.7863  0.3797
Pr  0.1309  0.0867  0.3908
Pr  0.5089  0.2137  0.6203
Pr  0.0089  0.7863  0.8797
Pr  0.2042  0.5625  0.5219
Ac  0.0355  0.3169  0.7452
Ac  0.5355  0.6831  0.7548
Ac  0.4645  0.3169  0.2452
Ac  0.9645  0.6831  0.2548

Computed properties:
crystal system: monoclinic
spin magnetization: 0.0 μB per cell
ΔE_f: -1.987 eV per formula unit
space-group type: No. 14

***

The following is a PBE calculation of a relaxed SrZrTeI2 crystal, from Alexandria.

Lattice parameters (Å, degrees): 6.0321 6.0321 6.3703 90.00 90.00 90.00
Fractional coordinates of all 5 atoms:
Sr  0.0000  0.0000  0.0000
Te  0.0000  0.0000  0.5000
I  0.5000  0.0000  0.0000
I  0.0000  0.5000  0.0000
Zr  0.5000  0.5000  0.5000

Computed properties:
crystal system: tetragonal
spin magnetization: 2.0 μB per cell
uncorrected formation energy: 0.320 eV per formula unit
space-group type: No. 123

***

spin magnetization of number 6 (SrZrTeI2)?
2.0 μB per cell

***

Number 5 is which compound?
AcPr3Pt